No. 1
Density functional theory data (GGA-PBE) for an optimized crystal structure of CdTeAu2.

Cell and atoms, written as POSCAR:
```
CdTeAu2
1.0
-2.475 0.425 -3.188
-0.804 -3.083 0.213
-5.251 1.666 4.299
Te Cd Au
1 1 2
Direct
0.500 0.750 0.750
0.500 0.250 0.250
0.000 0.750 0.047
0.000 0.750 0.453
```

Properties
E (eV/atom): -2.7324
Formation energy (no corrections) (meV/atom): -79
M_tot (μB/atom): 0.000
Space group: Pmmm (47)
Energy above the most stable polymorph in this dataset (meV/atom): 0


No. 2
Density functional theory data (GGA-PBE) for an optimized crystal structure of Er2InPt.

Cell and atoms, written as POSCAR:
```
Er2InPt
1.0
3.847 0.000 0.000
1.924 3.332 0.000
1.924 1.111 8.317
Pt Er In
1 2 1
Direct
0.000 0.000 0.000
0.735 0.735 0.796
0.265 0.265 0.204
0.500 0.500 0.500
```

Properties
E (eV/atom): -5.2105
M_tot (μB/atom): 0.000
Space group: R-3m (166)
DFT formation energy (meV per atom): -734
Energy above the most stable polymorph in this dataset (meV/atom): 138


No. 3
Density functional theory data (GGA-PBE) for an optimized crystal structure of La10In3Sn3.

Cell and atoms, written as POSCAR:
```
La10In3Sn3
1.0
6.764 0.000 0.000
0.000 8.326 -4.807
0.000 0.000 9.615
Sn La In
3 10 3
Direct
0.500 0.000 0.389
0.500 0.611 0.611
0.500 0.389 0.000
0.500 0.000 0.758
0.730 0.333 0.667
0.270 0.667 0.333
0.270 0.333 0.667
0.730 0.667 0.333
0.000 0.753 0.753
0.000 0.000 0.247
0.500 0.242 0.242
0.500 0.758 0.000
0.000 0.247 0.000
0.000 0.000 0.604
0.000 0.604 0.000
0.000 0.396 0.396
```

Properties
E (eV/atom): -4.8689
M_tot (μB/atom): 0.000
Space group: P-62m (189)
DFT formation energy (meV per atom): -525


No. 4
Density functional theory data (GGA-PBE) for an optimized crystal structure of MgSc3Re.

Cell and atoms, written as POSCAR:
```
MgSc3Re
1.0
4.960 0.000 0.000
0.000 4.960 0.000
0.000 0.000 4.960
Re Sc Mg
1 3 1
Direct
0.500 0.500 0.500
0.000 0.500 0.000
0.500 0.000 0.000
0.000 0.000 0.500
0.000 0.000 0.000
```

Properties
E (eV/atom): -5.1073
M_tot (μB/atom): 0.267
Space group: Pm-3m (221)
DFT formation energy (meV per atom): 1500
Energy above the most stable polymorph in this dataset (meV/atom): 1241


No. 5
Density functional theory data (GGA-PBE) for an optimized crystal structure of LiBeCu3.

Cell and atoms, written as POSCAR:
```
LiBeCu3
1.0
3.995 0.000 0.000
0.000 3.995 0.000
0.000 0.000 3.995
Cu Be Li
3 1 1
Direct
0.000 0.000 0.500
0.000 0.500 0.000
0.500 0.000 0.000
0.500 0.500 0.500
0.000 0.000 0.000
```

Properties
E (eV/atom): -2.7514
M_tot (μB/atom): 0.000
Space group: Pm-3m (221)
DFT formation energy (meV per atom): 834
Energy above the most stable polymorph in this dataset (meV/atom): 870


No. 6
Density functional theory data (GGA-PBE) for an optimized crystal structure of KRbFeCl4.

Cell and atoms, written as POSCAR:
```
KRbFeCl4
1.0
7.233 0.000 0.005
0.000 7.251 0.000
-2.846 0.000 8.589
Cl K Fe Rb
8 2 2 2
Direct
0.014 0.504 0.251
0.406 0.750 0.564
0.419 0.750 0.145
0.986 0.496 0.749
0.581 0.250 0.855
0.986 0.004 0.749
0.594 0.250 0.436
0.014 0.996 0.251
0.215 0.250 0.549
0.785 0.750 0.451
0.773 0.250 0.694
0.227 0.750 0.306
0.722 0.750 0.930
0.278 0.250 0.070
```

Properties
E (eV/atom): -4.0066
Formation energy (no corrections) (meV/atom): -1447
M_tot (μB/atom): 0.571
Space group: P2_1/m (11)


No. 7
Density functional theory data (GGA-PBE) for an optimized crystal structure of RbCuRhI6.

Cell and atoms, written as POSCAR:
```
RbCuRhI6
1.0
-4.356 4.234 3.812
-7.085 -1.110 -0.113
0.705 -5.153 6.529
I Rb Rh Cu
6 1 1 1
Direct
0.989 0.636 0.685
0.636 0.375 0.685
0.636 0.989 0.315
0.989 0.375 0.315
0.375 0.636 0.315
0.375 0.989 0.685
0.000 0.000 0.000
0.667 0.667 0.500
0.333 0.333 0.500
```

Properties
E (eV/atom): -2.8196
Formation energy (no corrections) (meV/atom): -407
M_tot (μB/atom): 0.128
Space group: P312 (149)


No. 8
Density functional theory data (GGA-PBE) for an optimized crystal structure of Pr2YTh.

Cell and atoms, written as POSCAR:
```
Pr2YTh
1.0
-5.574 -0.117 -2.947
-5.351 -3.099 1.237
-3.621 2.880 2.245
Pr Y Th
2 1 1
Direct
0.000 0.000 0.000
0.250 0.250 0.250
0.750 0.750 0.750
0.500 0.500 0.500
```

Properties
E (eV/atom): -5.7990
M_tot (μB/atom): 0.000
Space group: I-4m2 (119)
DFT formation energy (meV per atom): 62
Energy above the most stable polymorph in this dataset (meV/atom): 28


No. 9
Density functional theory data (GGA-PBE) for an optimized crystal structure of Cs3ReBr6Cl2.

Cell and atoms, written as POSCAR:
```
Cs3ReBr6Cl2
1.0
6.019 0.000 0.104
0.000 10.008 0.000
-0.751 -5.004 8.911
Br Re Cs Cl
6 1 3 2
Direct
0.740 0.887 0.126
0.740 0.239 0.126
0.260 0.761 0.874
0.741 0.892 0.784
0.259 0.108 0.216
0.260 0.113 0.874
0.500 0.000 0.000
0.500 0.500 0.500
0.000 0.500 0.000
0.500 0.000 0.500
0.841 0.318 0.636
0.159 0.682 0.364
```

Properties
E (eV/atom): -3.4302
Formation energy (no corrections) (meV/atom): -1035
M_tot (μB/atom): 0.149
Space group: C2/m (12)


No. 10
Density functional theory data (GGA-PBE) for an optimized crystal structure of ErSeCl.

Cell and atoms, written as POSCAR:
```
ErSeCl
1.0
4.009 0.000 -0.235
0.000 5.619 0.000
0.568 0.000 8.403
Se Er Cl
2 2 2
Direct
0.752 0.250 0.896
0.248 0.750 0.104
0.752 0.750 0.862
0.248 0.250 0.138
0.256 0.750 0.657
0.744 0.250 0.343
```

Properties
E (eV/atom): -5.3581
Formation energy (no corrections) (meV/atom): -2060
M_tot (μB/atom): 0.000
Space group: P2_1/m (11)
Energy above the most stable polymorph in this dataset (meV/atom): 0


No. 11
Density functional theory data (GGA-PBE) for an optimized crystal structure of Er4GaAsS2.

Cell and atoms, written as POSCAR:
```
Er4GaAsS2
1.0
-1.481 3.171 -1.782
-5.058 -3.918 -2.765
-5.423 -0.080 4.365
Er As S Ga
4 1 2 1
Direct
0.000 0.250 0.252
0.500 0.756 0.246
0.000 0.750 0.748
0.500 0.244 0.754
0.500 0.500 0.000
0.000 0.000 0.000
0.500 0.000 0.500
0.000 0.500 0.500
```

Properties
E (eV/atom): -5.7579
Formation energy (no corrections) (meV/atom): -1485
M_tot (μB/atom): 0.000
Space group: P2/m (10)


No. 12
Density functional theory data (GGA-PBE) for an optimized crystal structure of TiMnMoIr.

Cell and atoms, written as POSCAR:
```
TiMnMoIr
1.0
-0.894 -1.367 -4.029
-2.877 -3.199 -0.621
-3.868 0.871 -1.783
Mn Ir Mo Ti
1 1 1 1
Direct
0.000 0.000 0.000
0.250 0.250 0.250
0.750 0.750 0.750
0.500 0.500 0.500
```

Properties
E (eV/atom): -9.5432
M_tot (μB/atom): 0.520
Space group: F-43m (216)
DFT formation energy (meV per atom): -354


No. 13
Density functional theory data (GGA-PBE) for an optimized crystal structure of Ho5CoSe4.

Cell and atoms, written as POSCAR:
```
Ho5CoSe4
1.0
-4.316 -3.333 -1.874
1.398 -3.450 -5.955
0.163 -6.578 2.454
Ho Se Co
5 4 1
Direct
0.501 0.000 0.000
0.094 0.636 0.178
0.908 0.364 0.822
0.730 0.178 0.364
0.272 0.822 0.636
0.593 0.601 0.216
0.409 0.399 0.784
0.194 0.216 0.399
0.808 0.784 0.601
0.001 0.000 0.000
```

Properties
E (eV/atom): -5.8098
Formation energy (no corrections) (meV/atom): -1416
M_tot (μB/atom): 0.000
Space group: I4/m (87)


No. 14
Density functional theory data (GGA-PBE) for an optimized crystal structure of LiPr2Te4Pb.

Cell and atoms, written as POSCAR:
```
LiPr2Te4Pb
1.0
4.488 0.000 0.000
0.000 7.986 -0.250
0.000 2.718 7.244
Li Pr Te Pb
1 2 4 1
Direct
0.000 0.500 0.500
0.500 0.000 0.500
0.000 0.000 0.000
0.000 0.745 0.742
0.500 0.256 0.742
0.000 0.255 0.258
0.500 0.744 0.258
0.500 0.500 0.000
```

Properties
E (eV/atom): -4.5397
Formation energy (no corrections) (meV/atom): -1071
M_tot (μB/atom): 0.000
Space group: P2/m (10)


No. 15
Density functional theory data (GGA-PBE) for an optimized crystal structure of TbSm2Y.

Cell and atoms, written as POSCAR:
```
TbSm2Y
1.0
5.751 0.000 0.000
0.000 12.670 0.000
0.000 0.000 7.340
Sm Y Tb
8 4 4
Direct
0.443 0.084 0.500
0.943 0.916 0.500
0.444 0.584 0.500
0.944 0.416 0.500
0.944 0.916 0.000
0.444 0.084 0.000
0.443 0.584 0.000
0.943 0.416 0.000
0.943 0.668 0.250
0.443 0.332 0.750
0.443 0.832 0.750
0.943 0.168 0.250
0.943 0.166 0.750
0.443 0.334 0.250
0.443 0.834 0.250
0.943 0.666 0.750
```

Properties
E (eV/atom): -5.1139
M_tot (μB/atom): 0.000
Space group: Pmmn (59)
DFT formation energy (meV per atom): 19
Energy above the most stable polymorph in this dataset (meV/atom): 8


No. 16
Density functional theory data (GGA-PBE) for an optimized crystal structure of ZrTaTi2.

Cell and atoms, written as POSCAR:
```
ZrTaTi2
1.0
-1.739 2.929 -0.047
-2.797 -1.676 -0.988
-1.673 -0.893 6.252
Ti Ta Zr
2 1 1
Direct
0.000 0.000 0.216
0.000 0.000 0.784
0.500 0.500 0.000
0.500 0.500 0.500
```

Properties
E (eV/atom): -8.9785
M_tot (μB/atom): 0.000
Space group: P4/mmm (123)
DFT formation energy (meV per atom): 69


No. 17
Density functional theory data (GGA-PBE) for an optimized crystal structure of UBeCdO5.

Cell and atoms, written as POSCAR:
```
UBeCdO5
1.0
-0.887 -5.124 1.969
4.558 -0.520 -3.143
2.241 4.295 6.256
O U Be Cd
10 2 2 2
Direct
0.611 0.747 0.902
0.389 0.253 0.098
0.253 0.389 0.598
0.897 0.103 0.750
0.904 0.306 0.140
0.747 0.611 0.402
0.694 0.096 0.360
0.096 0.694 0.860
0.306 0.904 0.640
0.103 0.897 0.250
0.000 0.000 0.500
0.000 0.000 0.000
0.687 0.313 0.250
0.313 0.687 0.750
0.351 0.649 0.250
0.649 0.351 0.750
```

Properties
E (eV/atom): -7.5124
Formation energy (no corrections) (meV/atom): -2422
M_tot (μB/atom): 0.000
Space group: C2/c (15)


No. 18
Density functional theory data (GGA-PBE) for an optimized crystal structure of FeSn4Sb2.

Cell and atoms, written as POSCAR:
```
FeSn4Sb2
1.0
-3.683 -3.114 0.023
3.002 -3.561 -1.254
1.067 -4.943 7.313
Sb Sn Fe
2 4 1
Direct
0.667 0.667 0.665
0.333 0.333 0.335
0.500 0.000 0.000
0.000 0.500 0.000
0.157 0.157 0.686
0.843 0.843 0.314
0.000 0.000 0.000
```

Properties
E (eV/atom): -4.4827
Formation energy (no corrections) (meV/atom): 191
M_tot (μB/atom): 0.000
Space group: I4/mmm (139)


No. 19
Density functional theory data (GGA-PBE) for an optimized crystal structure of ZnPd8Au6.

Cell and atoms, written as POSCAR:
```
ZnPd8Au6
1.0
-1.886 2.216 -4.674
-3.905 -6.241 -1.382
-3.118 5.581 3.903
Pd Au Zn
8 6 1
Direct
0.851 0.703 0.692
0.851 0.308 0.012
0.149 0.297 0.308
0.851 0.988 0.297
0.023 0.667 0.333
0.977 0.333 0.667
0.149 0.692 0.988
0.149 0.012 0.703
0.648 0.638 0.985
0.352 0.362 0.015
0.648 0.015 0.653
0.352 0.985 0.347
0.352 0.653 0.638
0.648 0.347 0.362
0.500 0.000 0.000
```

Properties
E (eV/atom): -4.1131
M_tot (μB/atom): 0.000
Space group: P-3 (147)
DFT formation energy (meV per atom): 52


No. 20
Density functional theory data (GGA-PBE) for an optimized crystal structure of V2As2Rh.

Cell and atoms, written as POSCAR:
```
V2As2Rh
1.0
6.815 0.000 0.000
0.000 6.815 0.000
0.000 0.000 3.174
V As Rh
4 4 2
Direct
0.633 0.867 0.500
0.133 0.633 0.500
0.367 0.133 0.500
0.867 0.367 0.500
0.339 0.839 0.000
0.661 0.161 0.000
0.839 0.661 0.000
0.161 0.339 0.000
0.500 0.500 0.000
0.000 0.000 0.000
```

Properties
E (eV/atom): -7.2601
M_tot (μB/atom): 0.000
Space group: P4/mbm (127)
DFT formation energy (meV per atom): -283